[1]
Density functional theory data (PBE) for crystalline LiTc2Pd at its relaxed geometry.

Results
The calculation puts the total energy at -0.2501 Ha/atom.

a b c (Å): 6.079 6.079 6.079
angles (deg): 90.00 90.00 90.00
Space group F-43m (No. 216)
One atom of each set of equivalent atoms:
Li: 0.000 0.000 0.000 [4 per cell]
Tc: 0.000 0.000 0.500 [4 per cell]
Tc: 0.250 0.250 0.750 [4 per cell]
Pd: 0.250 0.250 0.250 [4 per cell]

[2]
Density functional theory data (PBE) for crystalline AcPrAg at its relaxed geometry.

Results
The calculation puts the total energy at -0.1408 Ha/atom. Its formation energy from the elements is 20.3 kJ/mol of formula units.

a b c (Å): 7.552 7.552 7.552
angles (deg): 90.00 90.00 90.00
Space group F-43m (No. 216)
One atom of each set of equivalent atoms:
Ac: 0.000 0.000 0.000 [4 per cell]
Pr: 0.000 0.000 0.500 [4 per cell]
Ag: 0.250 0.250 0.250 [4 per cell]

[3]
Density functional theory data (PBE) for crystalline SnBiPt at its relaxed geometry.

Results
The calculation puts the total energy at -0.1835 Ha/atom. The calculation puts the energy relative to the lowest polymorph listed for this composition at 0 meV per atom.

a b c (Å): 6.721 6.721 6.721
angles (deg): 90.00 90.00 90.00
Space group F-43m (No. 216)
One atom of each set of equivalent atoms:
Sn: 0.000 0.000 0.000 [4 per cell]
Bi: 0.000 0.000 0.500 [4 per cell]
Pt: 0.250 0.250 0.750 [4 per cell]